# 1
Entry from Alexandria: an optimized crystal structure of K3TlCu4Br12 (PBE).

The space group is R32 (No. 155, hexagonal axes) and the conventional cell measures 14.7252, 14.7252 and 13.6573 Å, with angles of 90.00, 90.00 and 120.00 degrees. The distinct sites, in fractional coordinates, are K at (0.0000, 0.5256, 0.0000), Tl at (0.0000, 0.0000, 0.0000), Cu at (0.0000, 0.0000, 0.5000), Cu at (0.0000, 0.4605, 0.5000), Br at (0.0000, 0.6200, 0.5000), Br at (0.0000, 0.8432, 0.5000) and Br at (0.0047, 0.1676, 0.1774).

Its total energy is -56.5 eV/f.u.

---

# 2
Entry from Alexandria: an optimized crystal structure of DyTi2Co9 (PBE).

The space group is R-3m (No. 166, hexagonal axes) and the conventional cell measures 4.8038, 4.8038 and 23.3667 Å, with angles of 90.00, 90.00 and 120.00 degrees. The distinct sites, in fractional coordinates, are Dy at (0.0000, 0.0000, 0.0000), Ti at (0.0000, 0.0000, 0.1416), Co at (0.0000, 0.0000, 0.3360), Co at (0.0000, 0.0000, 0.5000) and Co at (0.0081, 0.5040, 0.9136).

Its total energy is -86.9 eV/f.u.

---

# 3
Entry from Alexandria: an optimized crystal structure of Pr5DyTe4 (PBE).

The space group is C2/m (No. 12) and the conventional cell measures 18.897, 4.318 and 8.745 Å, with angles of 90.00, 101.85 and 90.00 degrees. The distinct sites, in fractional coordinates, are Pr at (0.000, 0.000, 0.000), Pr at (0.167, 0.500, 0.307), Pr at (0.182, 0.500, 0.857), Dy at (0.000, 0.000, 0.500), Te at (0.007, 0.500, 0.745) and Te at (0.164, 0.000, 0.575).

Its total energy is -51.2 eV/f.u.

---

# 4
Entry from Alexandria: an optimized crystal structure of GaPO (PBE).

The space group is Cm (No. 8) and the conventional cell measures 6.831, 3.988 and 4.584 Å, with angles of 90.00, 116.56 and 90.00 degrees. The distinct sites, in fractional coordinates, are Ga at (0.000, 0.000, 0.000), P at (0.217, 0.500, 0.178) and O at (0.284, 0.500, 0.561).

The value obtained for the energy above the lowest structure with this stoichiometry is 113.5 meV/atom.